[1]
VASP calculation (GGA-PBE) on a geometry-optimized TmNb2Al3Ga structure.

a b c (Å): 5.508 9.634 9.661
angles (deg): 90.00 90.00 90.00
Space group Fmm2 (No. 42)
Unique sites:
Tm 0.000 0.000 0.000 (multiplicity 4)
Nb 0.250 0.250 0.251 (multiplicity 8)
Al 0.000 0.000 0.306 (multiplicity 4)
Al 0.000 0.195 0.501 (multiplicity 8)
Ga 0.000 0.000 0.697 (multiplicity 4)

Computed properties:
The uncorrected energy is -167.79 eV/cell.

[2]
VASP calculation (GGA-PBE) on a geometry-optimized TmNb2Al2Ga2 structure.

a b c (Å): 5.533 6.796 6.779
angles (deg): 90.00 90.00 90.00
Space group Imm2 (No. 44)
Unique sites:
Tm 0.000 0.000 0.000 (multiplicity 2)
Nb 0.250 0.000 0.498 (multiplicity 4)
Al 0.000 0.305 0.693 (multiplicity 4)
Ga 0.000 0.303 0.302 (multiplicity 4)

Computed properties:
The uncorrected energy is -82.60 eV/cell.

[3]
VASP calculation (GGA-PBE) on a geometry-optimized Nd2Al3Ga3 structure.

a b c (Å): 6.506 4.539 6.518
angles (deg): 90.00 119.72 90.00
Space group Pm (No. 6)
Unique sites:
Nd 0.000 0.000 0.000 (multiplicity 1)
Nd 0.333 0.500 0.671 (multiplicity 1)
Al 0.386 0.500 0.199 (multiplicity 1)
Al 0.527 0.000 0.473 (multiplicity 1)
Al 0.808 0.500 0.199 (multiplicity 1)
Ga 0.524 0.000 0.049 (multiplicity 1)
Ga 0.807 0.500 0.624 (multiplicity 1)
Ga 0.954 0.000 0.475 (multiplicity 1)

Computed properties:
The uncorrected energy is -33.97 eV/cell.